Below is Na2CoF6 after structural relaxation, with properties calculated at the GGA+U level.

Space group   P4_2/mnm (136)
Total magnetization   1.003 μB per formula unit
Calculated density   2.99 g/cm³
Total energy   -0.15797 hartree per atom

a b c (Å): 4.9649 4.9649 9.8612
angles (deg): 90.00 90.00 90.00
With the nearest neighbours (Å) after each atom.
Element x y z (fractional)
Na1 0.0000 0.0000 0.3346  6 F 2.29-2.36
Na2 0.5000 0.5000 0.8346  6 F 2.29-2.36
Na3 0.5000 0.5000 0.1654  6 F 2.29-2.36
Na4 0.0000 0.0000 0.6654  6 F 2.29-2.36
Co1 0.0000 0.0000 0.0000  6 F 1.80-1.82
Co2 0.5000 0.5000 0.5000  6 F 1.80-1.82
F1 0.3227 0.3227 0.3652  1 Co 1.82
F2 0.6773 0.6773 0.3652  1 Co 1.82
F3 0.1773 0.8227 0.8652  1 Co 1.82
F4 0.8227 0.1773 0.8652  1 Co 1.82
F5 0.1773 0.8227 0.1348  1 Co 1.82
F6 0.8227 0.1773 0.1348  1 Co 1.82
F7 0.3227 0.3227 0.6348  1 Co 1.82
F8 0.6773 0.6773 0.6348  1 Co 1.82
F9 0.2561 0.2561 0.0000  1 Co 1.80
F10 0.7439 0.7439 0.0000  1 Co 1.80
F11 0.2439 0.7561 0.5000  1 Co 1.80
F12 0.7561 0.2439 0.5000  1 Co 1.80